Computed, not measured: a relaxed Ca4Mg2Zn crystal at the PBE-GGA level of DFT.

Lattice parameters (Å, degrees): 8.227 8.227 7.149 90.00 90.00 90.00
Space group I4/mmm (No. 139)
Symmetry-distinct sites (fractional):
Ca 0.235 0.235 0.000 (multiplicity 8)
Mg 0.000 0.500 0.250 (multiplicity 4)
Zn 0.000 0.000 0.500 (multiplicity 2)

Properties
Total magnetic moment ... 0.000 μB/f.u.
Electronic total energy ... -1.68 eV per atom
ΔH_f (0 K) ... 105 meV/atom